1:
## SnAu2O (PBE)

Data for a relaxed structure of SnAu2O.

calculated volume	17.61	A^3/atom
size of the total moment	0.000	Bohr magnetons per cell
space-group type	No. 122

The structure in POSCAR format:
```
SnAu2O
1.0
7.354 0.000 0.000
0.000 7.354 0.000
3.677 3.677 2.606
Sn Au O
2 4 2
direct
0.750 0.250 0.500
0.000 0.000 0.000
0.375 0.421 0.750
0.579 0.125 0.250
0.171 0.625 0.250
0.875 0.829 0.750
0.250 0.750 0.500
0.500 0.500 0.000
```

2:
## SnAu2O (PBE)

Data for a relaxed structure of SnAu2O.

calculated volume	17.44	A^3/atom
size of the total moment	0.000	Bohr magnetons per cell
space-group type	No. 225

The structure in POSCAR format:
```
SnAu2O
1.0
0.000 3.267 3.267
3.267 0.000 3.267
3.267 3.267 0.000
Sn Au O
1 2 1
direct
0.500 0.500 0.500
0.750 0.750 0.750
0.250 0.250 0.250
0.000 0.000 0.000
```

Which of them is the least stable? Correct choice: 2.

1:
## Tc2SnAuO (PBE)

Data for a relaxed structure of Tc2SnAuO.

calculated volume	27.60	A^3/atom
size of the total moment	8.851	Bohr magnetons per cell
space-group type	No. 123

The structure in POSCAR format:
```
Tc2SnAuO
1.0
5.200 0.000 0.000
0.000 5.104 0.000
0.000 0.000 5.200
Sn Au Tc O
1 1 2 1
direct
0.000 0.500 0.000
0.000 0.000 0.000
0.000 0.000 0.500
0.500 0.000 0.000
0.500 0.500 0.500
```

2:
## Tc2SnAuO (PBE)

Data for a relaxed structure of Tc2SnAuO.

calculated volume	27.32	A^3/atom
size of the total moment	7.945	Bohr magnetons per cell
space-group type	No. 123

The structure in POSCAR format:
```
Tc2SnAuO
1.0
-2.598 -1.948 4.047
3.421 -3.887 0.325
2.846 2.768 3.160
Tc O Au Sn
2 1 1 1
direct
0.000 0.500 0.000
0.500 0.000 0.000
0.500 0.500 0.500
0.000 0.000 0.500
0.000 0.000 0.000
```

Which of them is the least stable? Correct choice: 2.

1:
## Tb4Au2O (PBE)

Data for a relaxed structure of Tb4Au2O.

calculated volume	23.33	A^3/atom
size of the total moment	0.000	Bohr magnetons per cell
space-group type	No. 139

The structure in POSCAR format:
```
Tb4Au2O
1.0
-2.467 -0.036 -3.990
2.835 -3.317 -1.722
-4.626 -3.570 5.650
Au Tb O
2 4 1
direct
0.370 0.370 0.741
0.630 0.630 0.259
0.819 0.819 0.638
0.000 0.500 0.000
0.500 0.000 0.000
0.181 0.181 0.362
0.000 0.000 0.000
```

2:
## Tb4Au2O (PBE)

Data for a relaxed structure of Tb4Au2O.

calculated volume	25.04	A^3/atom
size of the total moment	0.000	Bohr magnetons per cell
space-group type	No. 11

The structure in POSCAR format:
```
Tb4Au2O
1.0
6.822 0.000 0.183
0.000 6.975 0.000
-2.300 0.000 7.305
O Tb Au
2 8 4
direct
0.267 0.750 0.195
0.733 0.250 0.805
0.494 0.508 0.250
0.506 0.008 0.750
0.494 0.992 0.250
0.930 0.250 0.617
0.091 0.750 0.906
0.909 0.250 0.094
0.506 0.492 0.750
0.070 0.750 0.383
0.740 0.750 0.567
0.273 0.250 0.951
0.260 0.250 0.433
0.727 0.750 0.049
```

Which of them is the least stable? Correct choice: 1.

1:
## Te3AuO (PBE)

Data for a relaxed structure of Te3AuO.

calculated volume	32.55	A^3/atom
size of the total moment	2.076	Bohr magnetons per cell
space-group type	No. 221

The structure in POSCAR format:
```
Te3AuO
1.0
5.460 0.000 0.000
0.000 5.460 0.000
0.000 0.000 5.460
Te O Au
3 1 1
direct
0.500 0.000 0.000
0.000 0.000 0.500
0.000 0.500 0.000
0.500 0.500 0.500
0.000 0.000 0.000
```

2:
## Te3AuO (PBE)

Data for a relaxed structure of Te3AuO.

calculated volume	22.54	A^3/atom
size of the total moment	0.000	Bohr magnetons per cell
space-group type	No. 221

The structure in POSCAR format:
```
Te3AuO
1.0
-4.815 0.158 0.358
-0.383 -1.023 -4.705
-0.078 -4.718 1.032
O Te Au
1 3 1
direct
0.000 0.000 0.000
0.500 0.000 0.000
0.000 0.500 0.000
0.000 0.000 0.500
0.500 0.500 0.500
```

Which of them is the least stable? Correct choice: 1.

1:
## TeAu2O (PBE)

Data for a relaxed structure of TeAu2O.

calculated volume	21.81	A^3/atom
size of the total moment	0.000	Bohr magnetons per cell
space-group type	No. 122

The structure in POSCAR format:
```
TeAu2O
1.0
-2.241 1.859 -4.230
-4.241 -2.692 1.064
-5.603 4.684 1.911
Au Te O
4 2 2
direct
0.875 0.781 0.750
0.219 0.625 0.250
0.375 0.469 0.750
0.531 0.125 0.250
0.000 0.000 0.000
0.750 0.250 0.500
0.500 0.500 0.000
0.250 0.750 0.500
```

2:
## TeAu2O (PBE)

Data for a relaxed structure of TeAu2O.

calculated volume	17.91	A^3/atom
size of the total moment	0.000	Bohr magnetons per cell
space-group type	No. 225

The structure in POSCAR format:
```
TeAu2O
1.0
-2.738 2.325 2.971
-3.613 2.470 -1.605
-4.356 -1.462 0.786
Au Te O
2 1 1
direct
0.250 0.250 0.250
0.750 0.750 0.750
0.500 0.500 0.500
0.000 0.000 0.000
```

Which of them is the least stable? Correct choice: 2.

1:
## TiAu3O (PBE)

Data for a relaxed structure of TiAu3O.

calculated volume	17.72	A^3/atom
size of the total moment	0.002	Bohr magnetons per cell
space-group type	No. 221

The structure in POSCAR format:
```
TiAu3O
1.0
-1.579 4.163 -0.212
-0.693 -0.486 -4.377
-4.111 -1.518 0.819
Au Ti O
3 1 1
direct
0.000 0.000 0.500
0.000 0.500 0.000
0.500 0.000 0.000
0.500 0.500 0.500
0.000 0.000 0.000
```

2:
## TiAu3O (PBE)

Data for a relaxed structure of TiAu3O.

calculated volume	24.61	A^3/atom
size of the total moment	0.000	Bohr magnetons per cell
space-group type	No. 221

The structure in POSCAR format:
```
TiAu3O
1.0
-2.428 -3.696 -2.276
2.700 0.756 -4.108
3.399 -3.241 1.638
Au O Ti
3 1 1
direct
0.500 0.000 0.000
0.000 0.500 0.000
0.000 0.000 0.500
0.500 0.500 0.500
0.000 0.000 0.000
```

Which of them is the least stable? Correct choice: 2.

1:
## ZrAu3O (PBE)

Data for a relaxed structure of ZrAu3O.

calculated volume	30.27	A^3/atom
size of the total moment	1.063	Bohr magnetons per cell
space-group type	No. 221

The structure in POSCAR format:
```
ZrAu3O
1.0
-1.543 3.874 3.318
-4.161 -2.961 1.522
2.950 -2.150 3.882
Au Zr O
3 1 1
direct
0.500 0.000 0.000
0.000 0.000 0.500
0.000 0.500 0.000
0.000 0.000 0.000
0.500 0.500 0.500
```

2:
## ZrAu3O (PBE)

Data for a relaxed structure of ZrAu3O.

calculated volume	18.35	A^3/atom
size of the total moment	1.438	Bohr magnetons per cell
space-group type	No. 221

The structure in POSCAR format:
```
ZrAu3O
1.0
4.511 0.000 0.000
0.000 4.511 0.000
0.000 0.000 4.511
Au O Zr
3 1 1
direct
0.000 0.000 0.500
0.500 0.000 0.000
0.000 0.500 0.000
0.000 0.000 0.000
0.500 0.500 0.500
```

Which of them is the least stable? Correct choice: 1.

1:
## OsAu2 (PBE)

Data for a relaxed structure of OsAu2.

calculated volume	20.58	A^3/atom
size of the total moment	1.062	Bohr magnetons per cell
space-group type	No. 205

The structure in POSCAR format:
```
OsAu2
1.0
6.274 0.000 0.000
0.000 6.274 0.000
0.000 0.000 6.274
Au Os
8 4
direct
0.362 0.138 0.862
0.862 0.362 0.138
0.362 0.362 0.362
0.138 0.638 0.862
0.138 0.862 0.362
0.638 0.638 0.638
0.862 0.138 0.638
0.638 0.862 0.138
0.000 0.000 0.000
0.000 0.500 0.500
0.500 0.500 0.000
0.500 0.000 0.500
```

2:
## OsAu2 (PBE)

Data for a relaxed structure of OsAu2.

calculated volume	20.48	A^3/atom
size of the total moment	0.622	Bohr magnetons per cell
space-group type	No. 123

The structure in POSCAR format:
```
OsAu2
1.0
-3.843 2.882 -0.010
-2.801 -3.731 1.144
0.376 0.510 2.586
Au Os
2 1
direct
0.000 0.500 0.500
0.500 0.000 0.500
0.000 0.000 0.000
```

Which of them is the least stable? Correct choice: 1.